The following is a PBE calculation of an optimized crystal structure of Ce2NdP, from the Alexandria database.

For the energy above the most stable polymorph in this dataset, the calculation gives 0.57 eV per formula unit.

The structure belongs to space group R-3m (No. 166, hexagonal axes); the cell edges are 3.7772, 3.7772 and 29.6972 Å and the angles 90.00°, 90.00° and 120.00°. The inequivalent atoms are Ce at (0.0000, 0.0000, 0.1090), Nd at (0.0000, 0.0000, 0.0000) and P at (0.0000, 0.0000, 0.5000).

The following is a PBE calculation of an optimized crystal structure of ZrPSe2N, from the Alexandria database.

For the energy above the most stable polymorph in this dataset, the calculation gives 1.44 eV per formula unit. The energy relative to the elements, uncorrected is 0.4049 eV/atom.

The structure belongs to space group P4/mmm (No. 123); the cell edges are 5.3307, 5.3307 and 3.9806 Å and the angles 90.00°, 90.00° and 90.00°. The inequivalent atoms are Zr at (0.0000, 0.0000, 0.0000), P at (0.5000, 0.5000, 0.5000), Se at (0.0000, 0.5000, 0.0000) and N at (0.0000, 0.0000, 0.5000).

The following is a PBE calculation of an optimized crystal structure of Sb2TeCl, from the Alexandria database.

For the energy above the most stable polymorph in this dataset, the calculation gives 1.20 eV per formula unit. The energy relative to the elements, uncorrected is 0.1412 eV/atom.

The structure belongs to space group P4/mmm (No. 123); the cell edges are 5.0808, 5.0808 and 4.0532 Å and the angles 90.00°, 90.00° and 90.00°. The inequivalent atoms are Sb at (0.0000, 0.5000, 0.0000), Te at (0.0000, 0.0000, 0.5000) and Cl at (0.5000, 0.5000, 0.5000).

Summary of DOS(E_F) in states/eV/f.u.
9.252 5.172 4.651
(order as listed above)